# 1
A plane-wave DFT calculation with PBE-GGA was carried out for ThIn2Te4Pb after structural relaxation.

Computed properties:
- Energy relative to the elements, uncorrected: -624 meV/atom
- Total moment: 0.00 μB per atom
- Calculated total energy: -34.17 eV/cell

a = 7.9645 Å, b = 4.5917 Å, c = 8.3991 Å
α = 90.00°, β = 108.04°, γ = 90.00°
Space group P2/m (No. 10)
Symmetry-distinct sites (fractional):
1 Th 0.0000 0.0000 0.0000 [1 per cell]
2 In 0.0000 0.5000 0.5000 [1 per cell]
3 In 0.5000 0.0000 0.5000 [1 per cell]
4 Te 0.2299 0.5000 0.2265 [2 per cell]
5 Te 0.2412 0.0000 0.7694 [2 per cell]
6 Pb 0.5000 0.5000 0.0000 [1 per cell]



# 2
A plane-wave DFT calculation with PBE-GGA was carried out for Er4Co2Ag after structural relaxation.

Computed properties:
- Total moment: 0.00 μB per atom
- Fermi-level density of states: 4.07 states/eV/f.u.
- Calculated total energy: -72.80 eV/cell
- E_form: -0.1550 eV per atom

a = 7.0911 Å, b = 7.0972 Å, c = 7.7058 Å
α = 108.89°, β = 108.32°, γ = 107.76°
Space group P1 (No. 1)
Symmetry-distinct sites (fractional):
1 Er 0.0000 0.0000 0.0000 [1 per cell]
2 Er 0.0241 0.9797 0.5166 [1 per cell]
3 Er 0.0980 0.4643 0.3808 [1 per cell]
4 Er 0.3670 0.8306 0.1968 [1 per cell]
5 Er 0.4490 0.5458 0.8152 [1 per cell]
6 Er 0.4892 0.0830 0.8877 [1 per cell]
7 Er 0.5622 0.4319 0.3080 [1 per cell]
8 Er 0.8291 0.3370 0.6791 [1 per cell]
9 Co 0.1314 0.7238 0.7574 [1 per cell]
10 Co 0.2149 0.3451 0.9575 [1 per cell]
11 Co 0.3334 0.2041 0.4391 [1 per cell]
12 Co 0.7544 0.0901 0.2406 [1 per cell]
13 Ag 0.6135 0.8448 0.5983 [1 per cell]
14 Ag 0.8725 0.6039 0.0977 [1 per cell]



# 3
A plane-wave DFT calculation with PBE-GGA was carried out for Ca2In3Bi3 after structural relaxation.

Computed properties:
- Total moment: 0.00 μB per atom
- Fermi-level density of states: 2.10 states/eV/f.u.
- Calculated total energy: -26.98 eV/cell
- E_form: -0.3897 eV per atom

a = 4.8219 Å, b = 4.9967 Å, c = 9.7204 Å
α = 90.00°, β = 90.00°, γ = 90.00°
Space group Pmmm (No. 47)
Symmetry-distinct sites (fractional):
1 Ca 0.0000 0.0000 0.2487 [2 per cell]
2 In 0.0000 0.5000 0.5000 [1 per cell]
3 In 0.5000 0.5000 0.2605 [2 per cell]
4 Bi 0.0000 0.5000 0.0000 [1 per cell]
5 Bi 0.5000 0.0000 0.0000 [1 per cell]
6 Bi 0.5000 0.0000 0.5000 [1 per cell]



# 4
A plane-wave DFT calculation with PBE-GGA was carried out for Ti2Mn2Ni after structural relaxation.

Computed properties:
- Total moment: 0.00 μB per atom
- Fermi-level density of states: 6.41 states/eV/f.u.
- Calculated total energy: -80.57 eV/cell
- Energy relative to the lowest polymorph listed for this composition: 0.0 kJ per mole of atoms
- E_form: -0.0753 eV per atom

a = 3.5537 Å, b = 13.3739 Å, c = 2.7914 Å
α = 90.00°, β = 90.00°, γ = 90.00°
Space group Cmmm (No. 65)
Symmetry-distinct sites (fractional):
1 Ti 0.0000 0.1083 0.0000 [4 per cell]
2 Mn 0.0000 0.2937 0.5000 [4 per cell]
3 Ni 0.0000 0.5000 0.5000 [2 per cell]



# 5
A plane-wave DFT calculation with PBE-GGA was carried out for Cs2SrHoF6 after structural relaxation.

Computed properties:
- Energy relative to the elements, uncorrected: -3274 meV/atom
- Total moment: 0.06 μB per atom
- Fermi-level density of states: 2.61 states/eV/f.u.
- Calculated total energy: -103.87 eV/cell

a = 6.7479 Å, b = 9.4579 Å, c = 6.7189 Å
α = 90.00°, β = 90.00°, γ = 90.00°
Space group Pmmn (No. 59, origin choice 2)
Symmetry-distinct sites (fractional):
1 Cs 0.2500 0.0077 0.2154 [4 per cell]
2 Sr 0.2500 0.2500 0.7264 [2 per cell]
3 Ho 0.2500 0.7500 0.7360 [2 per cell]
4 F 0.0208 0.7500 0.9941 [4 per cell]
5 F 0.0380 0.2500 0.4239 [4 per cell]
6 F 0.2500 0.5144 0.7535 [4 per cell]



# 6
A plane-wave DFT calculation with PBE-GGA was carried out for Pm3Ho2Er6Pu after structural relaxation.

Computed properties:
- Total moment: 0.54 μB per atom
- Fermi-level density of states: 22.33 states/eV/f.u.
- Calculated total energy: -129.23 eV/cell
- E_form: 0.0418 eV per atom

a = 6.1277 Å, b = 10.6144 Å, c = 11.6461 Å
α = 90.00°, β = 100.11°, γ = 90.00°
Space group C2/m (No. 12)
Symmetry-distinct sites (fractional):
1 Pm 0.0000 0.0000 0.0000 [2 per cell]
2 Pm 0.0000 0.3328 0.0000 [4 per cell]
3 Ho 0.0000 0.1666 0.5000 [4 per cell]
4 Er 0.2463 0.3355 0.7451 [8 per cell]
5 Er 0.2475 0.5000 0.2548 [4 per cell]
6 Pu 0.0000 0.5000 0.5000 [2 per cell]



Q: Which value of calculated total energy does entry 1 give?
A: -34.17 eV/cell



Q: Which value of calculated total energy does entry 4 give?
A: -80.57 eV/cell